Computed, not measured: HoPuNi2O6 after structural relaxation at the PBE+U level of DFT.

For the volume, the calculation gives 12.44 Å³ per atom. The calculated total energy is -0.281 hartree per atom.

Cell lengths 5.809, 5.809, 5.809 Å; angles 55.58, 55.58, 55.58 degrees
Positions (direct):
Ho (0.000, 0.000, 0.000)
Pu (0.491, 0.491, 0.491)
Ni (0.288, 0.288, 0.288)
Ni (0.795, 0.795, 0.795)
O (0.084, 0.676, 0.423)
O (0.194, 0.576, 0.904)
O (0.423, 0.084, 0.676)
O (0.576, 0.904, 0.194)
O (0.676, 0.423, 0.084)
O (0.904, 0.194, 0.576)